(1)
Here is a relaxed structure of Sm2YAs3 from OQMD. Energies are from PBE.

```
Sm2YAs3
1.0
4.183 0.000 0.000
-2.091 3.622 0.000
0.000 0.000 10.235
Sm Y As
2 1 3
Direct
0.333 0.667 0.331 Sm
0.667 0.333 0.669 Sm
0.000 0.000 0.000 Y
0.000 0.000 0.500 As
0.333 0.667 0.838 As
0.667 0.333 0.162 As
```

## Properties
Crystal system: trigonal

=====

(2)
Here is a relaxed structure of Hf4Ta2Tl3C3 from OQMD. Energies are from PBE.

```
Hf4Ta2Tl3C3
1.0
4.944 -2.856 0.000
4.944 2.856 0.000
-3.312 0.000 14.657
Hf Ta Tl C
8 4 6 6
Direct
0.033 0.191 0.084 Hf
0.134 0.305 0.416 Hf
0.191 0.033 0.584 Hf
0.305 0.134 0.916 Hf
0.695 0.866 0.084 Hf
0.809 0.967 0.416 Hf
0.866 0.695 0.584 Hf
0.967 0.809 0.916 Hf
0.355 0.525 0.076 Ta
0.475 0.645 0.424 Ta
0.525 0.355 0.576 Ta
0.645 0.475 0.924 Ta
0.094 0.906 0.250 Tl
0.261 0.417 0.751 Tl
0.417 0.261 0.251 Tl
0.583 0.739 0.749 Tl
0.739 0.583 0.249 Tl
0.906 0.094 0.750 Tl
0.000 0.500 0.000 C
0.171 0.665 0.500 C
0.335 0.829 0.000 C
0.500 0.000 0.500 C
0.665 0.171 0.000 C
0.829 0.335 0.500 C
```

## Properties
Crystal system: monoclinic

=====

(3)
Here is a relaxed structure of SrMg2Ir from OQMD. Energies are from PBE.

```
SrMg2Ir
1.0
0.000 3.542 3.542
3.542 0.000 3.542
3.542 3.542 0.000
Sr Mg Ir
1 2 1
Direct
0.000 0.000 0.000 Sr
0.500 0.500 0.500 Mg
0.750 0.750 0.750 Mg
0.250 0.250 0.250 Ir
```

## Properties
Crystal system: cubic

=====

| no. | energy (eV per atom) |
| --- | --- |
| 1 | -6.511 |
| 2 | -8.705 |
| 3 | -3.377 |